# 1
A geometry-optimized PmTl2V2O7 structure. Source: the Alexandria database, functional GGA+U.

Output
The space-group type is I4/mmm (139). For the total magnetic moment, the calculation gives 1.00 μB/f.u.

Cell lengths 12.1928, 12.1928, 12.1928 Å; angles 161.86, 161.86, 25.77 degrees
Fractional positions:
Pm 0.0000 0.0000 0.0000
Tl 0.1844 0.1844 0.0000
Tl 0.8156 0.8156 0.0000
V 0.4149 0.4149 0.0000
V 0.5851 0.5851 0.0000
O 0.0735 0.5735 0.5000
O 0.3411 0.3411 0.0000
O 0.4265 0.9265 0.5000
O 0.5000 0.5000 0.0000
O 0.5735 0.0735 0.5000
O 0.6589 0.6589 0.0000
O 0.9265 0.4265 0.5000

# 2
A geometry-optimized PmTlVO4 structure. Source: the Alexandria database, functional GGA+U.

Output
The space-group type is P2_1/m (11). For the total magnetic moment, the calculation gives 1.00 μB/f.u.

Cell lengths 6.2396, 5.9589, 7.6581 Å; angles 90.00, 103.12, 90.00 degrees
Fractional positions:
Pm 0.1828 0.2500 0.0668
Pm 0.8172 0.7500 0.9332
Tl 0.2848 0.2500 0.6060
Tl 0.7152 0.7500 0.3940
V 0.3036 0.7500 0.8604
V 0.6964 0.2500 0.1396
O 0.0876 0.5224 0.8457
O 0.0876 0.9776 0.8457
O 0.4753 0.7500 0.0762
O 0.4779 0.7500 0.7064
O 0.5221 0.2500 0.2936
O 0.5247 0.2500 0.9238
O 0.9124 0.0224 0.1543
O 0.9124 0.4776 0.1543

# 3
A geometry-optimized PmTlV2O6 structure. Source: the Alexandria database, functional GGA+U.

Output
The space-group type is C2/c (15). For the total magnetic moment, the calculation gives 2.00 μB/f.u.

Cell lengths 7.5823, 7.5823, 6.0440 Å; angles 99.77, 99.77, 86.99 degrees
Fractional positions:
Pm 0.1064 0.8936 0.7500
Pm 0.8936 0.1064 0.2500
Tl 0.3343 0.6657 0.2500
Tl 0.6657 0.3343 0.7500
V 0.1975 0.3707 0.7031
V 0.3707 0.1975 0.2031
V 0.6293 0.8025 0.7969
V 0.8025 0.6293 0.2969
O 0.0534 0.1780 0.6222
O 0.1142 0.5906 0.7693
O 0.1780 0.0534 0.1222
O 0.3306 0.3554 0.4657
O 0.3554 0.3306 0.9657
O 0.4094 0.8858 0.7307
O 0.5906 0.1142 0.2693
O 0.6446 0.6694 0.0343
O 0.6694 0.6446 0.5343
O 0.8220 0.9466 0.8778
O 0.8858 0.4094 0.2307
O 0.9466 0.8220 0.3778

# 4
A geometry-optimized PmTlVO5 structure. Source: the Alexandria database, functional GGA+U.

Output
The space-group type is C2/c (15). For the total magnetic moment, the calculation gives 0.95 μB/f.u.

Cell lengths 6.1641, 6.1641, 8.4519 Å; angles 105.18, 105.18, 102.41 degrees
Fractional positions:
Pm 0.0000 0.0000 0.0000
Pm 0.0000 0.0000 0.5000
Tl 0.3279 0.6721 0.7500
Tl 0.6721 0.3279 0.2500
V 0.3248 0.6752 0.2500
V 0.6752 0.3248 0.7500
O 0.0988 0.9012 0.7500
O 0.1238 0.6862 0.3621
O 0.2622 0.3900 0.1051
O 0.3138 0.8762 0.1379
O 0.3900 0.2622 0.6051
O 0.6100 0.7378 0.3949
O 0.6862 0.1238 0.8621
O 0.7378 0.6100 0.8949
O 0.8762 0.3138 0.6379
O 0.9012 0.0988 0.2500

# 5
A geometry-optimized PmTlV2O8 structure. Source: the Alexandria database, functional GGA+U.

Output
The space-group type is I-4m2 (119). For the total magnetic moment, the calculation gives 0.00 μB/f.u.

Cell lengths 6.0812, 6.0812, 6.0812 Å; angles 106.53, 106.53, 115.52 degrees
Fractional positions:
Pm 0.0000 0.0000 0.0000
Tl 0.7500 0.2500 0.5000
V 0.2500 0.7500 0.5000
V 0.5000 0.5000 0.0000
O 0.0805 0.3951 0.3145
O 0.0805 0.7660 0.6855
O 0.1430 0.3278 0.8152
O 0.2340 0.9195 0.3145
O 0.5126 0.3278 0.1848
O 0.6049 0.9195 0.6855
O 0.6722 0.4874 0.8152
O 0.6722 0.8570 0.1848

# 6
A geometry-optimized Pm2TlWO8 structure. Source: the Alexandria database, functional GGA+U.

Output
The space-group type is P-1 (2). For the total magnetic moment, the calculation gives 1.04 μB/f.u.

Cell lengths 4.9009, 4.9239, 7.4601 Å; angles 91.60, 91.51, 93.78 degrees
Fractional positions:
Pm 0.0444 0.0432 0.2567
Pm 0.9556 0.9568 0.7433
Tl 0.5000 0.5000 0.0000
W 0.5000 0.5000 0.5000
O 0.1996 0.2008 0.9808
O 0.2137 0.2175 0.5379
O 0.2737 0.6403 0.3080
O 0.3614 0.7286 0.6915
O 0.6386 0.2714 0.3085
O 0.7263 0.3597 0.6920
O 0.7863 0.7825 0.4621
O 0.8004 0.7992 0.0192

# 7
A geometry-optimized PmTl2W3O12 structure. Source: the Alexandria database, functional GGA+U.

Output
The space-group type is R-3m (166). For the total magnetic moment, the calculation gives 0.35 μB/f.u.

Cell lengths 7.7575, 7.7575, 7.7575 Å; angles 58.05, 58.05, 58.05 degrees
Fractional positions:
Pm 0.0000 0.0000 0.0000
Tl 0.3325 0.3325 0.3325
Tl 0.6675 0.6675 0.6675
W 0.0000 0.0000 0.5000
W 0.0000 0.5000 0.0000
W 0.5000 0.0000 0.0000
O 0.0665 0.7057 0.7057
O 0.0837 0.0837 0.6300
O 0.0837 0.6300 0.0837
O 0.2943 0.2943 0.9335
O 0.2943 0.9335 0.2943
O 0.3700 0.9163 0.9163
O 0.6300 0.0837 0.0837
O 0.7057 0.0665 0.7057
O 0.7057 0.7057 0.0665
O 0.9163 0.3700 0.9163
O 0.9163 0.9163 0.3700
O 0.9335 0.2943 0.2943

# 8
A geometry-optimized Pm3Tl3WO8 structure. Source: the Alexandria database, functional GGA+U.

Output
The space-group type is C2/m (12). For the total magnetic moment, the calculation gives 2.00 μB/f.u.

Cell lengths 7.0630, 7.0630, 7.7078 Å; angles 117.34, 117.34, 60.36 degrees
Fractional positions:
Pm 0.0000 0.0000 0.0000
Pm 0.0000 0.5000 0.0000
Pm 0.5000 0.0000 0.0000
Tl 0.0000 0.5000 0.5000
Tl 0.5000 0.0000 0.5000
Tl 0.5000 0.5000 0.5000
W 0.5000 0.5000 0.0000
O 0.2258 0.2258 0.1743
O 0.2506 0.7086 0.1648
O 0.2914 0.7494 0.8352
O 0.2957 0.2957 0.8357
O 0.7043 0.7043 0.1643
O 0.7086 0.2506 0.1648
O 0.7494 0.2914 0.8352
O 0.7742 0.7742 0.8257

| no. | final energy (eV/atom) |
| --- | --- |
| 1 | -6.871 |
| 2 | -7.068 |
| 3 | -7.330 |
| 4 | -6.941 |
| 5 | -7.125 |
| 6 | -7.067 |
| 7 | -6.966 |
| 8 | -6.727 |